1.
A relaxed structure of LiGaSn, computed with GGA-PBE.

Unit cell a=3.1834 b=4.2890 c=9.0135 alpha=90.00 beta=90.02 gamma=90.00
With the nearest neighbours (Å) after each atom.
Atoms (fractional coordinates):
Li1 0.0000 0.0000 0.0000  5 Ga 2.78-3.05, 1 Li 3.04, 4 Sn 3.04-3.05
Li2 0.0013 0.0000 0.3368  3 Li 3.04-3.18, 8 Sn 3.10-3.11, 1 Ga 3.20
Ga1 0.4988 0.5000 0.8380  2 Sn 2.92-2.93, 6 Ga 2.98-3.18, 4 Li 3.04-3.05
Ga2 0.9992 0.0000 0.6921  1 Li 2.78, 4 Ga 2.98
Sn1 0.5009 0.5000 0.1621  1 Ga 2.92, 8 Li 3.04-3.10, 3 Sn 3.16-3.18
Sn2 0.5016 0.5000 0.5126  5 Ga 2.93-3.13, 4 Li 3.11, 3 Sn 3.16-3.18

Density = 5.3 g/cm³
ΔH_f (0 K) = -0.189 eV per atom
Calculated total energy = -3.1702 eV/atom



2.
A relaxed structure of CeNdCdTc, computed with GGA-PBE.

Unit cell a=7.2986 b=7.2986 c=7.2986 alpha=90.00 beta=90.00 gamma=90.00
With the nearest neighbours (Å) after each atom.
Atoms (fractional coordinates):
Ce1 0.0000 0.0000 0.0000  4 Cd 3.16, 4 Tc 3.16
Ce2 0.0000 0.5000 0.5000  4 Cd 3.16, 4 Tc 3.16
Ce3 0.5000 0.0000 0.5000  4 Cd 3.16, 4 Tc 3.16
Ce4 0.5000 0.5000 0.0000  4 Cd 3.16, 4 Tc 3.16
Nd1 0.0000 0.0000 0.5000  4 Tc 3.16, 4 Cd 3.16
Nd2 0.0000 0.5000 0.0000  4 Tc 3.16, 4 Cd 3.16
Nd3 0.5000 0.0000 0.0000  4 Tc 3.16, 4 Cd 3.16
Nd4 0.5000 0.5000 0.5000  4 Tc 3.16, 4 Cd 3.16
Cd1 0.2500 0.2500 0.2500  4 Ce 3.16, 4 Nd 3.16
Cd2 0.2500 0.7500 0.7500  4 Ce 3.16, 4 Nd 3.16
Cd3 0.7500 0.2500 0.7500  4 Ce 3.16, 4 Nd 3.16
Cd4 0.7500 0.7500 0.2500  4 Ce 3.16, 4 Nd 3.16
Tc1 0.2500 0.2500 0.7500  4 Ce 3.16, 4 Nd 3.16
Tc2 0.2500 0.7500 0.2500  4 Ce 3.16, 4 Nd 3.16
Tc3 0.7500 0.2500 0.2500  4 Ce 3.16, 4 Nd 3.16
Tc4 0.7500 0.7500 0.7500  4 Nd 3.16, 4 Ce 3.16

Density = 8.5 g/cm³
ΔH_f (0 K) = 0.036 eV per atom
Calculated total energy = -5.4595 eV/atom



3.
A relaxed structure of UIn2SnTe4, computed with GGA-PBE.

Unit cell a=7.8674 b=4.4755 c=8.2912 alpha=90.00 beta=107.77 gamma=90.00
With the nearest neighbours (Å) after each atom.
Atoms (fractional coordinates):
U1 0.0000 0.0000 0.0000  6 Te 3.05-3.10
In1 0.0000 0.5000 0.5000  6 Te 3.34-3.35
In2 0.5000 0.0000 0.5000  6 Te 3.45-3.48
Sn1 0.5000 0.5000 0.0000  6 Te 3.21
Te1 0.2292 0.5000 0.2210  2 U 3.10, 1 Sn 3.21, 3 In 3.34-3.45
Te2 0.2428 0.0000 0.7748  1 U 3.05, 2 Sn 3.21, 2 In 3.35
Te3 0.7572 0.0000 0.2252  1 U 3.05, 2 Sn 3.21, 2 In 3.35
Te4 0.7708 0.5000 0.7790  2 U 3.10, 1 Sn 3.21, 3 In 3.34-3.45

Density = 6.6 g/cm³
Energy relative to the elements, uncorrected = -0.372 eV per atom
Calculated total energy = -4.5389 eV/atom



4.
A relaxed structure of BeMo2Rh, computed with GGA-PBE.

Unit cell a=3.1636 b=3.1636 c=5.5563 alpha=90.00 beta=90.00 gamma=90.00
With the nearest neighbours (Å) after each atom.
Atoms (fractional coordinates):
Be1 0.0000 0.0000 0.0000  8 Mo 2.53, 2 Rh 2.78
Mo1 0.5000 0.5000 0.2135  1 Mo 2.37, 4 Be 2.53
Mo2 0.5000 0.5000 0.7865  1 Mo 2.37, 4 Be 2.53
Rh1 0.0000 0.0000 0.5000  8 Mo 2.75, 2 Be 2.78

Density = 9.1 g/cm³
ΔH_f (0 K) = 0.097 eV per atom
Calculated total energy = -8.0883 eV/atom



5.
A relaxed structure of Ni2MoRh, computed with GGA-PBE.

Unit cell a=2.7014 b=2.7014 c=7.1321 alpha=90.00 beta=90.00 gamma=90.00
With the nearest neighbours (Å) after each atom.
Atoms (fractional coordinates):
Ni1 0.0000 0.0000 0.0000  8 Ni 2.50-2.70, 4 Mo 2.60
Ni2 0.5000 0.5000 0.2263  8 Ni 2.50-2.70, 4 Rh 2.62
Mo1 0.5000 0.5000 0.7530  4 Ni 2.60, 4 Mo 2.70, 4 Rh 2.73
Rh1 0.0000 0.0000 0.4785  4 Ni 2.62, 4 Rh 2.70, 4 Mo 2.73

Density = 10.1 g/cm³
ΔH_f (0 K) = -0.007 eV per atom
Calculated total energy = -7.4432 eV/atom



6.
A relaxed structure of BiSb3, computed with GGA-PBE.

Unit cell a=4.4694 b=4.4694 c=12.5772 alpha=90.00 beta=90.00 gamma=90.00
With the nearest neighbours (Å) after each atom.
Atoms (fractional coordinates):
Bi1 0.0000 0.0000 0.0000  6 Sb 3.16-3.19
Bi2 0.5000 0.5000 0.5000  6 Sb 3.16-3.19
Sb1 0.0000 0.0000 0.2539  5 Sb 3.10-3.16, 1 Bi 3.19
Sb2 0.0000 0.0000 0.5000  2 Sb 3.10, 4 Bi 3.16
Sb3 0.0000 0.0000 0.7461  5 Sb 3.10-3.16, 1 Bi 3.19
Sb4 0.5000 0.5000 0.0000  2 Sb 3.10, 4 Bi 3.16
Sb5 0.5000 0.5000 0.2461  5 Sb 3.10-3.16, 1 Bi 3.19
Sb6 0.5000 0.5000 0.7539  5 Sb 3.10-3.16, 1 Bi 3.19

Density = 7.6 g/cm³
Energy relative to the elements, uncorrected = 0.050 eV per atom
Calculated total energy = -4.0118 eV/atom



7.
A relaxed structure of MgInSi2, computed with GGA-PBE.

Unit cell a=7.6372 b=7.6372 c=5.6629 alpha=90.00 beta=90.00 gamma=90.00
With the nearest neighbours (Å) after each atom.
Atoms (fractional coordinates):
Mg1 0.0000 0.0000 0.0000  2 In 2.83, 4 Si 2.87
Mg2 0.0000 0.5000 0.2500  2 In 2.83, 4 Si 2.87
Mg3 0.5000 0.0000 0.7500  2 In 2.83, 4 Si 2.87
Mg4 0.5000 0.5000 0.5000  2 In 2.83, 4 Si 2.87
In1 0.0000 0.0000 0.5000  4 Si 2.72, 2 Mg 2.83
In2 0.0000 0.5000 0.7500  4 Si 2.72, 2 Mg 2.83
In3 0.5000 0.0000 0.2500  4 Si 2.72, 2 Mg 2.83
In4 0.5000 0.5000 0.0000  4 Si 2.72, 2 Mg 2.83
Si1 0.2354 0.2500 0.6250  2 In 2.72, 2 Si 2.84, 2 Mg 2.87
Si2 0.2500 0.7354 0.8750  2 In 2.72, 2 Si 2.84, 2 Mg 2.87
Si3 0.2500 0.7646 0.3750  2 In 2.72, 2 Si 2.84, 2 Mg 2.87
Si4 0.2646 0.2500 0.1250  2 In 2.72, 2 Si 2.84, 2 Mg 2.87
Si5 0.7354 0.7500 0.1250  2 In 2.72, 2 Si 2.84, 2 Mg 2.87
Si6 0.7500 0.2354 0.3750  2 In 2.72, 2 Si 2.84, 2 Mg 2.87
Si7 0.7500 0.2646 0.8750  2 In 2.72, 2 Si 2.84, 2 Mg 2.87
Si8 0.7646 0.7500 0.6250  2 In 2.72, 2 Si 2.84, 2 Mg 2.87

Density = 3.9 g/cm³
Energy relative to the elements, uncorrected = 0.381 eV per atom
Calculated total energy = -3.4133 eV/atom



8.
A relaxed structure of KTcBr2, computed with GGA-PBE.

Unit cell a=4.2224 b=4.2224 c=14.3387 alpha=90.00 beta=90.00 gamma=90.00
With the nearest neighbours (Å) after each atom.
Atoms (fractional coordinates):
K1 0.0000 0.0000 0.0000  4 Br 2.99
K2 0.5000 0.5000 0.5000  4 Br 2.99
Tc1 0.0000 0.5000 0.7500  4 Br 2.99
Tc2 0.5000 0.0000 0.2500  4 Br 2.99
Br1 0.0000 0.0000 0.5000  4 K 2.99
Br2 0.0000 0.5000 0.2500  4 Tc 2.99
Br3 0.5000 0.0000 0.7500  4 Tc 2.99
Br4 0.5000 0.5000 0.0000  4 K 2.99

Density = 3.9 g/cm³
Energy relative to the elements, uncorrected = 0.095 eV per atom
Calculated total energy = -3.6077 eV/atom



9.
A relaxed structure of MgAlCrPt, computed with GGA-PBE.

Unit cell a=6.2370 b=6.2370 c=6.2370 alpha=90.00 beta=90.00 gamma=90.00
With the nearest neighbours (Å) after each atom.
Atoms (fractional coordinates):
Mg1 0.0000 0.0000 0.0000  4 Cr 2.70, 4 Pt 2.70
Mg2 0.0000 0.5000 0.5000  4 Cr 2.70, 4 Pt 2.70
Mg3 0.5000 0.0000 0.5000  4 Cr 2.70, 4 Pt 2.70
Mg4 0.5000 0.5000 0.0000  4 Cr 2.70, 4 Pt 2.70
Al1 0.0000 0.0000 0.5000  4 Cr 2.70, 4 Pt 2.70
Al2 0.0000 0.5000 0.0000  4 Cr 2.70, 4 Pt 2.70
Al3 0.5000 0.0000 0.0000  4 Cr 2.70, 4 Pt 2.70
Al4 0.5000 0.5000 0.5000  4 Cr 2.70, 4 Pt 2.70
Cr1 0.2500 0.2500 0.7500  4 Mg 2.70, 4 Al 2.70
Cr2 0.2500 0.7500 0.2500  4 Mg 2.70, 4 Al 2.70
Cr3 0.7500 0.2500 0.2500  4 Mg 2.70, 4 Al 2.70
Cr4 0.7500 0.7500 0.7500  4 Mg 2.70, 4 Al 2.70
Pt1 0.2500 0.2500 0.2500  4 Mg 2.70, 4 Al 2.70
Pt2 0.2500 0.7500 0.7500  4 Mg 2.70, 4 Al 2.70
Pt3 0.7500 0.2500 0.7500  4 Mg 2.70, 4 Al 2.70
Pt4 0.7500 0.7500 0.2500  4 Mg 2.70, 4 Al 2.70

Density = 8.2 g/cm³
ΔH_f (0 K) = -0.448 eV per atom
Calculated total energy = -5.6983 eV/atom



10.
A relaxed structure of Ac2Cd3Hg4, computed with GGA-PBE.

Unit cell a=5.2930 b=5.4010 c=10.0113 alpha=84.16 beta=89.91 gamma=60.68
With the nearest neighbours (Å) after each atom.
Atoms (fractional coordinates):
Ac1 0.1402 0.2213 0.2700  7 Hg 3.29-3.39, 3 Cd 3.59-3.63
Ac2 0.8598 0.7787 0.7300  7 Hg 3.29-3.39, 3 Cd 3.59-3.63
Cd1 0.2146 0.0688 0.9154  5 Hg 3.04-3.20, 2 Cd 3.16-3.18
Cd2 0.5000 0.5000 0.5000  8 Hg 3.22-3.54
Cd3 0.7854 0.9312 0.0846  5 Hg 3.04-3.20, 2 Cd 3.16-3.18
Hg1 0.1740 0.1513 0.6010  4 Cd 3.13-3.34, 4 Ac 3.29-3.36
Hg2 0.4594 0.5845 0.1440  4 Cd 3.04-3.20, 1 Hg 3.08, 3 Ac 3.32-3.39
Hg3 0.5406 0.4155 0.8560  4 Cd 3.04-3.20, 1 Hg 3.08, 3 Ac 3.32-3.39
Hg4 0.8260 0.8487 0.3990  4 Cd 3.13-3.34, 4 Ac 3.29-3.36

Density = 10.7 g/cm³
ΔH_f (0 K) = -0.357 eV per atom
Calculated total energy = -1.7091 eV/atom



11.
A relaxed structure of Y2HIrOs, computed with GGA-PBE.

Unit cell a=5.3378 b=5.3378 c=3.3523 alpha=90.00 beta=90.00 gamma=90.00
With the nearest neighbours (Å) after each atom.
Atoms (fractional coordinates):
Y1 0.0000 0.5000 0.0000  2 Ir 2.67
Y2 0.5000 0.0000 0.0000  2 Ir 2.67
H1 0.0000 0.0000 0.5000  2 Ir 1.68
Ir1 0.0000 0.0000 0.0000  2 H 1.68
Os1 0.5000 0.5000 0.5000  8 Y 3.15, 2 Os 3.35

Density = 9.8 g/cm³
Calculated total energy = -7.0926 eV/atom



12.
A relaxed structure of TbAsPt6, computed with GGA-PBE.

Unit cell a=7.2499 b=7.2499 c=7.2499 alpha=43.95 beta=43.95 gamma=43.95
With the nearest neighbours (Å) after each atom.
Atoms (fractional coordinates):
Tb1 0.0000 0.0000 0.0000  12 Pt 3.05
As1 0.5000 0.5000 0.5000  6 Pt 2.47
Pt1 0.0640 0.5744 0.5744  1 As 2.47, 2 Pt 2.66
Pt2 0.4256 0.4256 0.9360  1 As 2.47, 2 Pt 2.66
Pt3 0.4256 0.9360 0.4256  1 As 2.47, 2 Pt 2.66
Pt4 0.5744 0.0640 0.5744  1 As 2.47, 2 Pt 2.66
Pt5 0.5744 0.5744 0.0640  1 As 2.47, 2 Pt 2.66
Pt6 0.9360 0.4256 0.4256  1 As 2.47, 2 Pt 2.66

Density = 14.0 g/cm³
ΔH_f (0 K) = -0.429 eV per atom
Calculated total energy = -6.1191 eV/atom